Here is an optimized crystal structure of La2BePbSe from Alexandria. Energies are from PBEsol.

Output
- Calculated volume: 26.5 Å³ per atom
- ΔE_f (raw): -421 meV/atom

a b c (Å): 5.5339 5.5339 4.3281
angles (deg): 90.00 90.00 90.00
With the nearest neighbours (Å) after each atom.
Space group P4/mmm (No. 123)
Inequivalent atoms, fractional coordinates:
1 La 0.0000 0.5000 0.0000 x2  2 Be 2.77
2 Be 0.0000 0.0000 0.0000 x1  2 Pb 2.16
3 Pb 0.0000 0.0000 0.5000 x1  2 Be 2.16
4 Se 0.5000 0.5000 0.5000 x1  8 La 3.51, 4 Pb 3.91